SrNdAs2O8 | Alexandria | PBE | relaxed; raw total energy = -6.638 eV per atom; raw formation energy = -24.25 eV/f.u.; Fermi-level density of states = 7.19 states/eV/f.u.
1.0
-2.6202 2.6202 5.9961
2.6202 -2.6202 5.9961
2.6202 2.6202 -5.9961
Sr Nd As O
1 1 2 8
Direct
0.0000 0.0000 0.0000 Sr
0.7500 0.2500 0.5000 Nd
0.2500 0.7500 0.5000 As
0.5000 0.5000 0.0000 As
0.0383 0.9231 0.6089 O
0.0769 0.6858 0.1152 O
0.1738 0.2991 0.6320 O
0.3142 0.4294 0.3911 O
0.4582 0.8262 0.1253 O
0.5706 0.9617 0.8848 O
0.6671 0.5418 0.3680 O
0.7009 0.3329 0.8747 O



ZnPd2F8 | Alexandria | PBE | relaxed; raw total energy = -3.673 eV per atom; raw formation energy = -13.77 eV/f.u.; Fermi-level density of states = 5.86 states/eV/f.u.
1.0
6.5269 0.0000 0.0000
-3.2635 5.6525 0.0000
0.0000 0.0000 4.2073
Zn Pd F
1 2 8
Direct
0.0000 0.0000 0.0000 Zn
0.3333 0.6667 0.7579 Pd
0.6667 0.3333 0.2421 Pd
0.1537 0.3094 0.7497 F
0.1556 0.8463 0.7497 F
0.3094 0.1556 0.2503 F
0.3333 0.6667 0.2573 F
0.6667 0.3333 0.7427 F
0.6906 0.8444 0.7497 F
0.8444 0.1537 0.2503 F
0.8463 0.6906 0.2503 F



RbMnAsCl6 | Alexandria | PBE | relaxed; raw total energy = -3.987 eV per atom; raw formation energy = -10.02 eV/f.u.; Fermi-level density of states = 0.00 states/eV/f.u.
1.0
6.6353 0.0000 0.0000
-3.3177 5.7464 0.0000
0.0000 0.0000 7.3580
Rb Mn As Cl
1 1 1 6
Direct
0.0000 0.0000 0.0000 Rb
0.3333 0.6667 0.5000 Mn
0.6667 0.3333 0.5000 As
0.3767 0.0019 0.6961 Cl
0.3767 0.3748 0.3039 Cl
0.6252 0.0019 0.3039 Cl
0.6252 0.6233 0.6961 Cl
0.9981 0.3748 0.6961 Cl
0.9981 0.6233 0.3039 Cl



CeTmPa2As4 | Alexandria | PBE | relaxed; raw total energy = -7.243 eV per atom; Fermi-level density of states = 11.71 states/eV/f.u.; formation energy from the elements = -1.24 eV per atom
1.0
7.1223 0.0000 0.0000
0.0000 4.1113 0.0000
-2.3718 0.0000 6.7208
Ce Tm Pa As
1 1 2 4
Direct
0.0000 0.0000 0.0000 Ce
0.5000 0.5000 0.0000 Tm
0.0000 0.5000 0.5000 Pa
0.5000 0.0000 0.5000 Pa
0.2540 0.0000 0.7487 As
0.2562 0.5000 0.2540 As
0.7438 0.5000 0.7460 As
0.7460 0.0000 0.2513 As



LiInRu4 | Alexandria | PBE | relaxed; raw total energy = -6.621 eV per atom; Fermi-level density of states = 6.57 states/eV/f.u.; formation energy from the elements = 0.34 eV per atom
1.0
0.0000 3.6487 3.6487
3.6487 0.0000 3.6487
3.6487 3.6487 0.0000
Li In Ru
1 1 4
Direct
0.0000 0.0000 0.0000 Li
0.2500 0.2500 0.2500 In
0.1246 0.6251 0.6251 Ru
0.6251 0.1246 0.6251 Ru
0.6251 0.6251 0.1246 Ru
0.6251 0.6251 0.6251 Ru



Cs2K4Hg2O | Alexandria | PBE | relaxed; raw total energy = -1.731 eV per atom; raw formation energy = -3.92 eV/f.u.; Fermi-level density of states = 5.42 states/eV/f.u.
1.0
-4.0936 4.0936 6.2895
4.0936 -4.0936 6.2895
4.0936 4.0936 -6.2895
Cs K Hg O
2 4 2 1
Direct
0.2314 0.2314 0.0000 Cs
0.7686 0.7686 0.0000 Cs
0.2259 0.2259 0.4519 K
0.2259 0.7741 0.0000 K
0.7741 0.2259 0.0000 K
0.7741 0.7741 0.5481 K
0.2500 0.7500 0.5000 Hg
0.7500 0.2500 0.5000 Hg
0.0000 0.0000 0.0000 O